Computed, not measured: SnPbN2 after structural relaxation at the PBE level of DFT.

Cell and atoms, written as CIF:
```
data_SnPbN2
_chemical_formula_sum 'Sn3 Pb3 N6'
_symmetry_space_group_name_H-M 'R -3 m'
_symmetry_Int_Tables_number 166
_symmetry_space_group_name_Hall '-R 3 2"'
_cell_length_a 3.3702
_cell_length_b 3.3702
_cell_length_c 20.2826
_cell_angle_alpha 90.00
_cell_angle_beta 90.00
_cell_angle_gamma 120.00
loop_
_atom_site_label
_atom_site_type_symbol
_atom_site_fract_x
_atom_site_fract_y
_atom_site_fract_z
Sn1 Sn 0.0000 0.0000 0.0000
Pb1 Pb 0.0000 0.0000 0.5000
N1 N 0.0000 0.0000 0.3863
```

energy = -0.40656 Ry per atom
formation energy (no corrections) = 0.559 eV per atom
density of states at the Fermi level = 2.70 states/eV per cell

Computed, not measured: Sn3PbN after structural relaxation at the PBE level of DFT.

Cell and atoms, written as CIF:
```
data_Sn3PbN
_chemical_formula_sum 'Sn3 Pb1 N1'
_symmetry_space_group_name_H-M 'P m -3 m'
_symmetry_Int_Tables_number 221
_symmetry_space_group_name_Hall '-P 4 2 3'
_cell_length_a 4.9311
_cell_length_b 4.9311
_cell_length_c 4.9311
_cell_angle_alpha 90.00
_cell_angle_beta 90.00
_cell_angle_gamma 90.00
loop_
_atom_site_label
_atom_site_type_symbol
_atom_site_fract_x
_atom_site_fract_y
_atom_site_fract_z
Sn1 Sn 0.0000 0.0000 0.5000
Pb1 Pb 0.5000 0.5000 0.5000
N1 N 0.0000 0.0000 0.0000
```

energy = -0.32298 Ry per atom
formation energy (no corrections) = 0.414 eV per atom
density of states at the Fermi level = 5.12 states/eV per cell

Computed, not measured: SnPbN2 after structural relaxation at the PBE level of DFT.

Cell and atoms, written as CIF:
```
data_SnPbN2
_chemical_formula_sum 'Sn3 Pb3 N6'
_symmetry_space_group_name_H-M 'R -3 m'
_symmetry_Int_Tables_number 166
_symmetry_space_group_name_Hall '-R 3 2"'
_cell_length_a 3.4914
_cell_length_b 3.4914
_cell_length_c 19.7295
_cell_angle_alpha 90.00
_cell_angle_beta 90.00
_cell_angle_gamma 120.00
loop_
_atom_site_label
_atom_site_type_symbol
_atom_site_fract_x
_atom_site_fract_y
_atom_site_fract_z
Sn1 Sn 0.0000 0.0000 0.0000
Pb1 Pb 0.0000 0.0000 0.5000
N1 N 0.0000 0.0000 0.1073
```

energy = -0.38461 Ry per atom
formation energy (no corrections) = 0.858 eV per atom
density of states at the Fermi level = 1.06 states/eV per cell

Number 1: excess energy over the best structure of this formula in the dataset 1.62 eV per formula unit. Number 2: excess energy over the best structure of this formula in the dataset 0.00 eV per formula unit. Number 3: excess energy over the best structure of this formula in the dataset 2.82 eV per formula unit.